Record 1
# FeAsRuAu2, relaxed, DFT PBE-GGA
data_FeAsRuAu2
_chemical_formula_sum 'Fe1 As1 Ru1 Au2'
_space_group_name_H-M_alt 'P 4/m m m'
_space_group_IT_number 123
_space_group_name_Hall '-P 4 2'
_cell_length_a 4.787
_cell_length_b 4.787
_cell_length_c 4.461
_cell_angle_alpha 90.00
_cell_angle_beta 90.00
_cell_angle_gamma 90.00
loop_
_atom_site_label
_atom_site_type_symbol
_atom_site_fract_x
_atom_site_fract_y
_atom_site_fract_z
Fe1 Fe 0.000 0.000 0.000
As1 As 0.000 0.000 0.500
Ru1 Ru 0.500 0.500 0.000
Au1 Au 0.000 0.500 0.500
# Crystal system: tetragonal
# Calculated density in g/cm³: 10.17
# Density of states at the Fermi level in states/eV/atom: 0.765
# Formation energy in eV per atom: 1.070


Record 2
# Fe4OsW, relaxed, DFT PBE-GGA
data_Fe4OsW
_chemical_formula_sum 'Fe16 Os4 W4'
_space_group_name_H-M_alt 'F -4 3 m'
_space_group_IT_number 216
_space_group_name_Hall 'F -4 2 3'
_cell_length_a 6.619
_cell_length_b 6.619
_cell_length_c 6.619
_cell_angle_alpha 90.00
_cell_angle_beta 90.00
_cell_angle_gamma 90.00
loop_
_atom_site_label
_atom_site_type_symbol
_atom_site_fract_x
_atom_site_fract_y
_atom_site_fract_z
Fe1 Fe 0.125 0.125 0.125
Os1 Os 0.250 0.250 0.750
W1 W 0.000 0.000 0.500
# Crystal system: cubic
# Calculated density in g/cm³: 13.68
# Density of states at the Fermi level in states/eV/atom: 1.045
# Formation energy in eV per atom: 0.000